Below is Tb2Sm8Er after structural relaxation, with properties calculated at the PBE level.

## Properties
Energy relative to the elements (meV per atom): 168
N(E_F) (states/eV per cell): 35.3
Magnetic moment (Bohr magnetons per cell): 0.000

a = 16.6770 Å, b = 6.7555 Å, c = 6.7048 Å
α = 90.00°, β = 100.40°, γ = 90.00°
With the nearest neighbours (Å) after each atom.
Space group C2/m (No. 12)
Symmetry-distinct sites (fractional):
Tb 0.1975 0.0000 0.3038 (multiplicity 4)  7 Sm 3.38-3.69, 1 Er 3.76
Sm 0.0873 0.2621 0.9032 (multiplicity 8)  5 Sm 3.21-3.54, 1 Er 3.34, 1 Tb 3.46
Sm 0.0917 0.5000 0.4112 (multiplicity 4)  8 Sm 3.36-3.75, 1 Tb 3.69
Sm 0.2443 0.0000 0.8152 (multiplicity 4)  5 Sm 3.30-3.48, 4 Tb 3.38-3.64
Er 0.0000 0.0000 0.5000 (multiplicity 2)  4 Sm 3.34


Below is TbSm6Er8 after structural relaxation, with properties calculated at the PBE level.

## Properties
Energy relative to the elements (meV per atom): 236
N(E_F) (states/eV per cell): 21.7
Magnetic moment (Bohr magnetons per cell): 0.000

a = 9.4322 Å, b = 9.4322 Å, c = 6.5036 Å
α = 90.00°, β = 90.00°, γ = 120.00°
With the nearest neighbours (Å) after each atom.
Space group P-3 (No. 147)
Symmetry-distinct sites (fractional):
Tb 0.0000 0.0000 0.0000 (multiplicity 1)  6 Sm 3.58
Sm 0.0905 0.6798 0.0918 (multiplicity 6)  1 Sm 3.17, 3 Er 3.23-3.45
Er 0.0229 0.3336 0.4013 (multiplicity 6)  4 Sm 3.23-3.61, 5 Er 3.30-3.61
Er 0.3333 0.6667 0.6551 (multiplicity 2)  6 Er 3.38-3.46, 3 Sm 3.69


Below is Tb7Sm2Er2 after structural relaxation, with properties calculated at the PBE level.

## Properties
Energy above the most stable polymorph in this dataset (eV/f.u.): 0.40
Energy relative to the elements (meV per atom): 151
N(E_F) (states/eV per cell): 34.8
Magnetic moment (Bohr magnetons per cell): 0.000

a = 11.2546 Å, b = 11.4721 Å, c = 6.0614 Å
α = 90.00°, β = 113.32°, γ = 90.00°
With the nearest neighbours (Å) after each atom.
Space group C2/m (No. 12)
Symmetry-distinct sites (fractional):
Tb 0.0000 0.0000 0.0000 (multiplicity 2)  6 Tb 3.28-3.45
Tb 0.1760 0.2360 0.1781 (multiplicity 8)  5 Tb 3.22-3.60, 2 Er 3.29-3.43
Tb 0.2278 0.0000 0.5844 (multiplicity 4)  5 Tb 3.34-3.55, 2 Er 3.46, 3 Sm 3.47-3.72
Sm 0.0857 0.5000 0.8029 (multiplicity 4)  2 Sm 3.41-3.62, 7 Tb 3.47-3.78, 2 Er 3.67
Er 0.0000 0.2163 0.5000 (multiplicity 4)  6 Tb 3.29-3.46, 2 Sm 3.67


Below is Tb7SmEr4 after structural relaxation, with properties calculated at the PBE level.

## Properties
Energy above the most stable polymorph in this dataset (eV/f.u.): 0.00
Energy relative to the elements (meV per atom): -3
N(E_F) (states/eV per cell): 15.2
Magnetic moment (Bohr magnetons per cell): 0.000

a = 6.1933 Å, b = 7.1536 Å, c = 8.8095 Å
α = 90.03°, β = 103.53°, γ = 90.01°
With the nearest neighbours (Å) after each atom.
Space group P-1 (No. 2)
Symmetry-distinct sites (fractional):
Tb 0.0000 0.0000 0.0000 (multiplicity 1)  4 Er 3.53, 6 Tb 3.53-3.57, 2 Sm 3.58
Tb 0.2225 0.5006 0.6652 (multiplicity 2)  6 Tb 3.50-3.59, 5 Er 3.50-3.59, 1 Sm 3.54
Tb 0.2790 0.2484 0.3355 (multiplicity 2)  6 Er 3.49-3.60, 5 Tb 3.50-3.59, 1 Sm 3.55
Tb 0.5004 0.2485 0.9996 (multiplicity 2)  3 Er 3.53, 7 Tb 3.54-3.60, 2 Sm 3.58
Sm 0.0000 0.5000 0.0000 (multiplicity 1)  10 Tb 3.54-3.58, 2 Er 3.54
Er 0.2207 0.0003 0.6653 (multiplicity 2)  8 Tb 3.49-3.58, 4 Er 3.50-3.58
Er 0.2783 0.7513 0.3348 (multiplicity 2)  8 Tb 3.50-3.60, 3 Er 3.50-3.58, 1 Sm 3.54


Below is Tb2SmEr2 after structural relaxation, with properties calculated at the PBE level.

## Properties
Energy above the most stable polymorph in this dataset (eV/f.u.): 0.00
Energy relative to the elements (meV per atom): 85
N(E_F) (states/eV per cell): 9.2
Magnetic moment (Bohr magnetons per cell): 0.000

a = 9.3032 Å, b = 9.3032 Å, c = 3.7256 Å
α = 90.00°, β = 90.00°, γ = 90.00°
With the nearest neighbours (Å) after each atom.
Space group P4/mbm (No. 127)
Symmetry-distinct sites (fractional):
Tb 0.1269 0.3731 0.0000 (multiplicity 4)  6 Er 3.25-3.36, 1 Tb 3.34
Sm 0.0000 0.0000 0.0000 (multiplicity 2)  4 Tb 3.67, 2 Sm 3.73, 8 Er 3.92
Er 0.1705 0.6705 0.5000 (multiplicity 4)  6 Tb 3.25-3.36


Below is Tb3SmEr2 after structural relaxation, with properties calculated at the PBE level.

## Properties
Energy above the most stable polymorph in this dataset (eV/f.u.): 0.13
Energy relative to the elements (meV per atom): 18
N(E_F) (states/eV per cell): 32.6
Magnetic moment (Bohr magnetons per cell): 0.000

a = 17.4116 Å, b = 7.1031 Å, c = 6.1468 Å
α = 90.00°, β = 90.08°, γ = 90.00°
With the nearest neighbours (Å) after each atom.
Space group C2/c (No. 15)
Symmetry-distinct sites (fractional):
Tb 0.0000 0.1242 0.2500 (multiplicity 4)  4 Sm 3.54-3.56, 4 Tb 3.54-3.57, 4 Er 3.56
Tb 0.1677 0.3745 0.4160 (multiplicity 8)  4 Tb 3.52-3.57, 6 Er 3.53-3.56, 2 Sm 3.57
Sm 0.0000 0.3746 0.7500 (multiplicity 4)  8 Tb 3.54-3.57, 2 Sm 3.55, 2 Er 3.56
Er 0.1672 0.1245 0.9173 (multiplicity 8)  8 Tb 3.53-3.56, 3 Er 3.54-3.55, 1 Sm 3.56


Below is Tb2Sm3Er3 after structural relaxation, with properties calculated at the PBE level.

## Properties
Energy above the most stable polymorph in this dataset (eV/f.u.): 0.86
Energy relative to the elements (meV per atom): 128
N(E_F) (states/eV per cell): 36.8
Magnetic moment (Bohr magnetons per cell): 0.000

a = 5.9282 Å, b = 5.9316 Å, c = 14.6845 Å
α = 90.00°, β = 90.00°, γ = 90.00°
With the nearest neighbours (Å) after each atom.
Space group Immm (No. 71)
Symmetry-distinct sites (fractional):
Tb 0.0000 0.0000 0.2486 (multiplicity 4)  5 Sm 3.46-3.69, 5 Er 3.48-3.65
Sm 0.0000 0.0000 0.5000 (multiplicity 2)  4 Er 3.48, 4 Sm 3.50, 2 Tb 3.69
Sm 0.0000 0.5000 0.3732 (multiplicity 4)  4 Tb 3.46-3.48, 3 Er 3.50-3.66, 3 Sm 3.50-3.72
Er 0.0000 0.0000 0.0000 (multiplicity 2)  4 Er 3.48, 4 Sm 3.50, 2 Tb 3.65
Er 0.0000 0.5000 0.1241 (multiplicity 4)  3 Sm 3.48-3.66, 3 Er 3.48-3.64, 4 Tb 3.48-3.50


Below is Tb3Sm2Er after structural relaxation, with properties calculated at the PBE level.

## Properties
Energy above the most stable polymorph in this dataset (eV/f.u.): 0.58
Energy relative to the elements (meV per atom): 160
N(E_F) (states/eV per cell): 40.0
Magnetic moment (Bohr magnetons per cell): 0.000

a = 14.9362 Å, b = 9.6314 Å, c = 6.0080 Å
α = 90.00°, β = 113.67°, γ = 90.00°
With the nearest neighbours (Å) after each atom.
Space group C2/c (No. 15)
Symmetry-distinct sites (fractional):
Tb 0.0000 0.1097 0.2500 (multiplicity 4)  6 Sm 3.66-3.68, 4 Tb 3.67, 2 Er 4.05
Tb 0.2322 0.4171 0.4773 (multiplicity 8)  3 Tb 3.26-3.40, 1 Sm 3.44, 2 Er 3.59-3.62
Sm 0.1336 0.2196 0.8857 (multiplicity 8)  1 Sm 3.24, 1 Tb 3.44, 2 Er 3.58-3.60
Er 0.0000 0.5000 0.0000 (multiplicity 4)  2 Er 3.00


Below is Tb6SmEr3 after structural relaxation, with properties calculated at the PBE level.

## Properties
Energy above the most stable polymorph in this dataset (eV/f.u.): 0.24
Energy relative to the elements (meV per atom): 149
N(E_F) (states/eV per cell): 55.9
Magnetic moment (Bohr magnetons per cell): 0.002

a = 11.0008 Å, b = 18.9634 Å, c = 6.1786 Å
α = 90.00°, β = 90.00°, γ = 90.00°
With the nearest neighbours (Å) after each atom.
Space group Cmc2_1 (No. 36)
Symmetry-distinct sites (fractional):
Tb 0.0000 0.0455 0.0000 (multiplicity 4)  1 Sm 3.33, 4 Er 3.51-3.60, 2 Tb 3.54
Tb 0.0000 0.2812 0.7288 (multiplicity 4)  4 Tb 3.21-3.40, 1 Er 3.35, 2 Sm 3.41-3.42
Tb 0.1648 0.4549 0.6212 (multiplicity 8)  4 Er 3.40-3.61, 5 Tb 3.42-3.76
Tb 0.2456 0.2902 0.4499 (multiplicity 8)  5 Tb 3.21-3.45, 2 Er 3.27-3.56, 2 Sm 3.29-3.44
Sm 0.0000 0.2047 0.2279 (multiplicity 4)  3 Er 3.25-3.52, 7 Tb 3.29-3.44
Er 0.0000 0.3887 0.1582 (multiplicity 4)  7 Tb 3.35-3.75, 1 Sm 3.52, 2 Er 3.69
Er 0.1712 0.1099 0.5440 (multiplicity 8)  1 Sm 3.25, 6 Tb 3.27-3.60


What is the formula in the sixth record? Tb3SmEr2